# 1
Entry from the Open Quantum Materials Database: a geometry-optimized HfCuSbIr structure (PBE-GGA).

CIF file:
```
data_HfCuSbIr
_chemical_formula_sum 'Hf4 Cu4 Sb4 Ir4'
_symmetry_space_group_name_H-M 'F -4 3 m'
_symmetry_Int_Tables_number 216
_symmetry_space_group_name_Hall 'F -4 2 3'
_cell_length_a 6.540
_cell_length_b 6.540
_cell_length_c 6.540
_cell_angle_alpha 90.00
_cell_angle_beta 90.00
_cell_angle_gamma 90.00
loop_
_atom_site_label
_atom_site_type_symbol
_atom_site_fract_x
_atom_site_fract_y
_atom_site_fract_z
_atom_site_occupancy
Hf1 Hf 0.000 0.000 0.000 1
Cu1 Cu 0.250 0.250 0.750 1
Sb1 Sb 0.000 0.000 0.500 1
Ir1 Ir 0.250 0.250 0.250 1
```

Properties
Raw total energy   -27.86 eV/f.u.
Mass density   13.20 g/cm³
Magnetization   0.007 μB/cell

# 2
Entry from the Open Quantum Materials Database: a geometry-optimized Y4InCoN2 structure (PBE-GGA).

CIF file:
```
data_Y4InCoN2
_chemical_formula_sum 'Y4 In1 Co1 N2'
_symmetry_space_group_name_H-M 'P -6 m 2'
_symmetry_Int_Tables_number 187
_symmetry_space_group_name_Hall 'P -6 2'
_cell_length_a 3.5054
_cell_length_b 3.5054
_cell_length_c 14.7783
_cell_angle_alpha 90.00
_cell_angle_beta 90.00
_cell_angle_gamma 120.00
loop_
_atom_site_label
_atom_site_type_symbol
_atom_site_fract_x
_atom_site_fract_y
_atom_site_fract_z
_atom_site_occupancy
Y1 Y 0.0000 0.0000 0.1322 1
Y2 Y 0.3333 0.6667 0.3196 1
In1 In 0.0000 0.0000 0.5000 1
Co1 Co 0.3333 0.6667 0.0000 1
N1 N 0.6667 0.3333 0.2369 1
```

Properties
Raw total energy   -59.06 eV/f.u.
Mass density   5.89 g/cm³
Magnetization   0.168 μB/cell

# 3
Entry from the Open Quantum Materials Database: a geometry-optimized SnPd3 structure (PBE-GGA).

CIF file:
```
data_SnPd3
_chemical_formula_sum 'Sn1 Pd3'
_symmetry_space_group_name_H-M 'P m -3 m'
_symmetry_Int_Tables_number 221
_symmetry_space_group_name_Hall '-P 4 2 3'
_cell_length_a 4.030
_cell_length_b 4.030
_cell_length_c 4.030
_cell_angle_alpha 90.00
_cell_angle_beta 90.00
_cell_angle_gamma 90.00
loop_
_atom_site_label
_atom_site_type_symbol
_atom_site_fract_x
_atom_site_fract_y
_atom_site_fract_z
_atom_site_occupancy
Sn1 Sn 0.000 0.000 0.000 1
Pd1 Pd 0.000 0.500 0.500 1
```

Properties
Raw total energy   -21.61 eV/f.u.
Mass density   11.11 g/cm³

# 4
Entry from the Open Quantum Materials Database: a geometry-optimized SrMgSbIr structure (PBE-GGA).

CIF file:
```
data_SrMgSbIr
_chemical_formula_sum 'Sr4 Mg4 Sb4 Ir4'
_symmetry_space_group_name_H-M 'F -4 3 m'
_symmetry_Int_Tables_number 216
_symmetry_space_group_name_Hall 'F -4 2 3'
_cell_length_a 7.032
_cell_length_b 7.032
_cell_length_c 7.032
_cell_angle_alpha 90.00
_cell_angle_beta 90.00
_cell_angle_gamma 90.00
loop_
_atom_site_label
_atom_site_type_symbol
_atom_site_fract_x
_atom_site_fract_y
_atom_site_fract_z
_atom_site_occupancy
Sr1 Sr 0.000 0.000 0.000 1
Mg1 Mg 0.250 0.250 0.750 1
Sb1 Sb 0.000 0.000 0.500 1
Ir1 Ir 0.250 0.250 0.250 1
```

Properties
Raw total energy   -16.54 eV/f.u.
Mass density   8.14 g/cm³
Magnetization   0.018 μB/cell

# 5
Entry from the Open Quantum Materials Database: a geometry-optimized TmUCu structure (PBE-GGA).

CIF file:
```
data_TmUCu
_chemical_formula_sum 'Tm4 U4 Cu4'
_symmetry_space_group_name_H-M 'F -4 3 m'
_symmetry_Int_Tables_number 216
_symmetry_space_group_name_Hall 'F -4 2 3'
_cell_length_a 6.559
_cell_length_b 6.559
_cell_length_c 6.559
_cell_angle_alpha 90.00
_cell_angle_beta 90.00
_cell_angle_gamma 90.00
loop_
_atom_site_label
_atom_site_type_symbol
_atom_site_fract_x
_atom_site_fract_y
_atom_site_fract_z
_atom_site_occupancy
Tm1 Tm 0.000 0.000 0.000 1
U1 U 0.000 0.000 0.500 1
Cu1 Cu 0.250 0.250 0.250 1
```

Properties
Raw total energy   -17.56 eV/f.u.
Mass density   11.08 g/cm³
Magnetization   12.363 μB/cell
ΔH_f (0 K)   643 meV per atom

# 6
Entry from the Open Quantum Materials Database: a geometry-optimized Ba2Ag2O5 structure (PBE-GGA).

CIF file:
```
data_Ba2Ag2O5
_chemical_formula_sum 'Ba2 Ag2 O5'
_symmetry_space_group_name_H-M 'P 4/m m m'
_symmetry_Int_Tables_number 123
_symmetry_space_group_name_Hall '-P 4 2'
_cell_length_a 4.193
_cell_length_b 4.193
_cell_length_c 8.095
_cell_angle_alpha 90.00
_cell_angle_beta 90.00
_cell_angle_gamma 90.00
loop_
_atom_site_label
_atom_site_type_symbol
_atom_site_fract_x
_atom_site_fract_y
_atom_site_fract_z
_atom_site_occupancy
Ba1 Ba 0.000 0.000 0.000 1
Ba2 Ba 0.000 0.000 0.500 1
Ag1 Ag 0.500 0.500 0.241 1
O1 O 0.000 0.500 0.223 1
O2 O 0.500 0.500 0.500 1
```

Properties
Raw total energy   -44.62 eV/f.u.
Mass density   6.66 g/cm³

Q: The highest raw total energy belongs to which entry?
A: SrMgSbIr